Density functional theory data (PBE) for a geometry-optimized MgNbTeAs structure.

Unit cell a=6.9330 b=6.9330 c=6.9330 alpha=90.00 beta=90.00 gamma=90.00
Closest atoms and distances in Å follow each position.
Space group F-43m (No. 216)
One atom of each set of equivalent atoms:
Mg 0.0000 0.0000 0.0000 x4  4 As 3.00, 4 Nb 3.00
Nb 0.2500 0.2500 0.2500 x4  4 Te 3.00, 4 Mg 3.00
Te 0.0000 0.0000 0.5000 x4  4 Nb 3.00, 4 As 3.00
As 0.2500 0.2500 0.7500 x4  4 Te 3.00, 4 Mg 3.00

Properties
mass density: 6.37 Mg/m³
excess energy over the best structure of this formula in the dataset: 476 meV/atom

***

Density functional theory data (PBE) for a geometry-optimized HfScGa2Ni4 structure.

Unit cell a=4.0849 b=4.0849 c=8.0346 alpha=90.00 beta=90.00 gamma=120.00
Closest atoms and distances in Å follow each position.
Space group P-6m2 (No. 187)
One atom of each set of equivalent atoms:
Hf 0.0000 0.0000 0.0000 x1  8 Ni 2.66-2.69
Sc 0.6667 0.3333 0.5000 x1  8 Ni 2.72
Ga 0.3333 0.6667 0.2531 x2  6 Ni 2.44-2.47
Ni 0.0000 0.0000 0.3309 x2  3 Ga 2.44, 1 Hf 2.66, 4 Ni 2.72, 3 Sc 2.72
Ni 0.6667 0.3333 0.1617 x2  3 Ga 2.47, 4 Ni 2.60-2.72, 3 Hf 2.69, 1 Sc 2.72

Properties
mass density: 8.55 Mg/m³
E_tot: -6.1673 eV per atom

***

Density functional theory data (PBE) for a geometry-optimized TlNi8 structure.

Unit cell a=7.7663 b=3.5041 c=28.4586 alpha=90.00 beta=90.14 gamma=90.00
Closest atoms and distances in Å follow each position.
Space group C2/m (No. 12)
One atom of each set of equivalent atoms:
Tl 0.0502 0.0000 0.2451 x4  6 Ni 2.72-3.03
Ni 0.0501 0.0000 0.5411 x4  12 Ni 2.46-2.48
Ni 0.0505 0.5000 0.4039 x4  12 Ni 2.45-2.49
Ni 0.0515 0.5000 0.6784 x4  9 Ni 2.44-2.48
Ni 0.1493 0.0000 0.3482 x4  11 Ni 2.44-2.49
Ni 0.1503 0.0000 0.6232 x4  12 Ni 2.44-2.48
Ni 0.1500 0.5000 0.4862 x4  12 Ni 2.46-2.47
Ni 0.2477 0.0000 0.7046 x4  6 Ni 2.44-2.48, 1 Tl 2.72
Ni 0.2503 0.0000 0.4315 x4  12 Ni 2.46-2.49

Properties
mass density: 5.78 Mg/m³
E_tot: -5.1124 eV per atom

***

Density functional theory data (PBE) for a geometry-optimized CdB4As structure.

Unit cell a=3.0790 b=5.3202 c=8.1060 alpha=90.00 beta=90.00 gamma=90.00
Closest atoms and distances in Å follow each position.
Space group Immm (No. 71)
One atom of each set of equivalent atoms:
Cd 0.0000 0.0000 0.0000 x2  12 B 2.67-2.71
B 0.0000 0.3302 0.2547 x8  3 B 1.76-1.81
As 0.0000 0.0000 0.5000 x2  12 B 2.65-2.73

Properties
mass density: 5.77 Mg/m³
excess energy over the best structure of this formula in the dataset: 5 meV/atom

***

Density functional theory data (PBE) for a geometry-optimized LuZn2Co structure.

Unit cell a=6.3446 b=6.3446 c=6.3446 alpha=90.00 beta=90.00 gamma=90.00
Closest atoms and distances in Å follow each position.
Space group F-43m (No. 216)
One atom of each set of equivalent atoms:
Lu 0.0000 0.0000 0.0000 x4  4 Co 2.75, 4 Zn 2.75
Zn 0.0000 0.0000 0.5000 x4  4 Co 2.75, 4 Zn 2.75
Zn 0.2500 0.2500 0.2500 x4  4 Zn 2.75, 4 Lu 2.75
Co 0.2500 0.2500 0.7500 x4  4 Lu 2.75, 4 Zn 2.75

Properties
mass density: 9.49 Mg/m³
E_tot: -3.6463 eV per atom

***

Density functional theory data (PBE) for a geometry-optimized UTaTl structure.

Unit cell a=6.8535 b=6.8535 c=6.8535 alpha=90.00 beta=90.00 gamma=90.00
Closest atoms and distances in Å follow each position.
Space group F-43m (No. 216)
One atom of each set of equivalent atoms:
U 0.0000 0.0000 0.0000 x4  4 Ta 2.97, 4 Tl 2.97
Ta 0.2500 0.2500 0.7500 x4  4 U 2.97
Tl 0.2500 0.2500 0.2500 x4  4 U 2.97

Properties
mass density: 12.86 Mg/m³
excess energy over the best structure of this formula in the dataset: 194 meV/atom